[1]
Computed, not measured: an optimized crystal structure of Sr2YCu2MoO7 at the GGA+U level of DFT.

Cell: 12.5102 12.5102 5.5421 Å, 102.50 102.50 143.86°
Last column: nearest neighbours and their distance in Å.
Fractional coordinates of all 26 atoms:
Sr  0.1055  0.8945  0.0000  6 O 2.56-2.85
Sr  0.3485  0.5656  0.9529  6 O 2.55-2.77
Sr  0.5656  0.3485  0.9529  6 O 2.55-2.77
Sr  0.8945  0.1055  0.0000  6 O 2.56-2.85
Y  0.2478  0.7510  0.0120  5 O 2.30-2.53
Y  0.7510  0.2478  0.0120  5 O 2.30-2.53
Cu  0.1749  0.8014  0.4964  4 O 1.95-2.00
Cu  0.3058  0.6800  0.5011  4 O 1.94-2.00
Cu  0.6800  0.3058  0.5011  4 O 1.94-2.00
Cu  0.8014  0.1749  0.4964  4 O 1.95-2.00
Mo  0.5821  0.5821  0.5121  3 O 1.88-2.01
Mo  0.8818  0.8818  0.4037  4 O 1.94-2.10
O  0.0313  0.3979  0.4460  2 Cu 1.96
O  0.0738  0.4514  0.9984  2 Cu 2.00
O  0.0979  0.9495  0.5627  1 Mo 1.94
O  0.3979  0.0313  0.4460  2 Cu 1.96
O  0.4090  0.5594  0.4574  1 Mo 1.88
O  0.4514  0.0738  0.9984  2 Cu 2.00
O  0.5236  0.5236  0.0734  2 Mo 1.99-2.14
O  0.5301  0.9014  0.9991  2 Cu 1.98-1.99
O  0.5594  0.4090  0.4574  1 Mo 1.88
O  0.5775  0.9565  0.5520  2 Cu 1.94-1.95
O  0.8687  0.8687  0.0126  2 Mo 2.01-2.10
O  0.9014  0.5301  0.9991  2 Cu 1.98-1.99
O  0.9495  0.0979  0.5627  1 Mo 1.94
O  0.9565  0.5775  0.5520  2 Cu 1.94-1.95

Results
- VASP energy: -6.58 eV per atom
- Crystal system: monoclinic
- Total moment: 2.69 μB/cell
- Density of states at the Fermi level: 0.257 states/eV/atom
- Volume: 14.09 Å³ per atom
- Space group: No. 8


[2]
Computed, not measured: an optimized crystal structure of TaCuMoO6 at the GGA+U level of DFT.

Cell: 4.6983 4.6983 9.4104 Å, 90.00 90.00 90.00°
Last column: nearest neighbours and their distance in Å.
Fractional coordinates of all 18 atoms:
Ta  0.0000  0.0000  0.0000  6 O 1.97-2.04
Ta  0.5000  0.5000  0.5000  6 O 1.97-2.04
Cu  0.0000  0.0000  0.6632  6 O 2.02-2.18
Cu  0.5000  0.5000  0.1632  6 O 2.02-2.18
Mo  0.0000  0.0000  0.3285  6 O 1.93-2.05
Mo  0.5000  0.5000  0.8285  6 O 1.93-2.05
O  0.1964  0.1964  0.1603  1 Ta 1.99, 1 Cu 2.02, 1 Mo 2.05
O  0.2045  0.2045  0.4843  1 Ta 1.97, 1 Mo 2.00, 1 Cu 2.16
O  0.2103  0.2103  0.8416  1 Mo 1.93, 1 Ta 2.04
O  0.2897  0.7103  0.3416  1 Mo 1.93, 1 Ta 2.04
O  0.2955  0.7045  0.9843  1 Ta 1.97, 1 Mo 2.00, 1 Cu 2.16
O  0.3036  0.6964  0.6603  1 Ta 1.99, 1 Cu 2.02, 1 Mo 2.05
O  0.6964  0.3036  0.6603  1 Ta 1.99, 1 Cu 2.02, 1 Mo 2.05
O  0.7045  0.2955  0.9843  1 Ta 1.97, 1 Mo 2.00, 1 Cu 2.16
O  0.7103  0.2897  0.3416  1 Mo 1.93, 1 Ta 2.04
O  0.7897  0.7897  0.8416  1 Mo 1.93, 1 Ta 2.04
O  0.7955  0.7955  0.4843  1 Ta 1.97, 1 Mo 2.00, 1 Cu 2.16
O  0.8036  0.8036  0.1603  1 Ta 1.99, 1 Cu 2.02, 1 Mo 2.05

Results
- VASP energy: -7.68 eV per atom
- Crystal system: tetragonal
- Total moment: 0.01 μB/cell
- Density of states at the Fermi level: 0.297 states/eV/atom
- Volume: 11.54 Å³ per atom
- Space group: No. 102


[3]
Computed, not measured: an optimized crystal structure of Cu2TeMoO at the GGA+U level of DFT.

Cell: 5.0292 5.0292 3.7700 Å, 90.00 90.00 90.00°
Last column: nearest neighbours and their distance in Å.
Fractional coordinates of all 5 atoms:
Cu  0.0000  0.5000  0.0000  2 Mo 2.51
Cu  0.5000  0.0000  0.0000  2 Mo 2.51
Te  0.0000  0.0000  0.5000  8 Cu 3.14
Mo  0.5000  0.5000  0.0000  2 O 1.88
O  0.5000  0.5000  0.5000  2 Mo 1.88

Results
- VASP energy: -4.36 eV per atom
- Crystal system: tetragonal
- Total moment: 1.16 μB/cell
- Density of states at the Fermi level: 0.327 states/eV/atom
- Volume: 19.07 Å³ per atom
- Space group: No. 123